Compound: K4TiO4
Source: Alexandria
Functional: SCAN
Structure: PBEsol geometry

abc: 6.8787 6.8787 7.0746
angles: 90.00 90.00 90.86
Closest atoms and distances in Å follow each position.
Atoms (fractional coordinates):
K (0.1653, 0.1653, 0.5000)  4 O 2.56-2.61
K (0.1653, 0.1653, 0.0000)  4 O 2.56-2.61
K (0.1456, 0.5430, 0.2500)  4 O 2.69-2.79, 1 K 3.01
K (0.5430, 0.1456, 0.7500)  4 O 2.69-2.79, 1 K 3.01
K (0.8544, 0.4570, 0.7500)  4 O 2.69-2.79, 1 K 3.01
K (0.4570, 0.8544, 0.2500)  4 O 2.69-2.79, 1 K 3.01
K (0.8347, 0.8347, 0.0000)  4 O 2.56-2.61
K (0.8347, 0.8347, 0.5000)  4 O 2.56-2.61
Ti (0.6805, 0.3195, 0.2500)  4 O 1.84-1.85
Ti (0.3195, 0.6805, 0.7500)  4 O 1.84-1.85
O (0.4199, 0.2582, 0.2500)  1 Ti 1.84
O (0.2582, 0.4199, 0.7500)  1 Ti 1.84
O (0.7907, 0.2093, 0.0378)  1 Ti 1.85
O (0.7907, 0.2093, 0.4622)  1 Ti 1.85
O (0.2093, 0.7907, 0.9622)  1 Ti 1.85
O (0.2093, 0.7907, 0.5378)  1 Ti 1.85
O (0.5801, 0.7418, 0.7500)  1 Ti 1.84
O (0.7418, 0.5801, 0.2500)  1 Ti 1.84

## Properties
excess energy over the best structure of this formula in the dataset = 81 meV/atom
theoretical density = 2.66 g/cm3
N(E_F) = 0.00 states/eV per cell
V = 334.7 Å³ per cell
symmetry = Cmcm